Record 1
Li2PrGa4 | PBE-GGA | optimized geometry

Cell and atoms, written as CIF:
```
data_Li2PrGa4
_chemical_formula_sum 'Li4 Pr2 Ga8'
_cell_length_a 3.221
_cell_length_b 4.314
_cell_length_c 19.952
_cell_angle_alpha 90.00
_cell_angle_beta 90.00
_cell_angle_gamma 90.00
_symmetry_space_group_name_H-M 'I m m m'
_symmetry_Int_Tables_number 71
_symmetry_space_group_name_Hall '-I 2 2'
loop_
_atom_site_label
_atom_site_type_symbol
_atom_site_fract_x
_atom_site_fract_y
_atom_site_fract_z
Li1 Li 0.000 0.000 0.207
Pr1 Pr 0.000 0.500 0.000
Ga1 Ga 0.000 0.000 0.345
Ga2 Ga 0.000 0.500 0.415
```

Output
E ... -46.4 eV/cell
ΔE_f ... -354 meV/atom
Mass density ... 5.2 g cm⁻³

Record 2
LiPr2Ga5 | PBE-GGA | optimized geometry

Cell and atoms, written as CIF:
```
data_LiPr2Ga5
_chemical_formula_sum 'Li2 Pr4 Ga10'
_cell_length_a 6.376
_cell_length_b 6.376
_cell_length_c 8.653
_cell_angle_alpha 90.00
_cell_angle_beta 90.00
_cell_angle_gamma 90.00
_symmetry_space_group_name_H-M 'I 4 m m'
_symmetry_Int_Tables_number 107
_symmetry_space_group_name_Hall 'I 4 -2'
loop_
_atom_site_label
_atom_site_type_symbol
_atom_site_fract_x
_atom_site_fract_y
_atom_site_fract_z
Li1 Li 0.000 0.000 0.000
Pr1 Pr 0.000 0.500 0.335
Ga1 Ga 0.000 0.000 0.327
Ga2 Ga 0.212 0.212 0.587
```

Output
E ... -60.6 eV/cell
ΔE_f ... -461 meV/atom
Mass density ... 6.0 g cm⁻³

Record 3
LiPr6Ga5 | PBE-GGA | optimized geometry

Cell and atoms, written as CIF:
```
data_LiPr6Ga5
_chemical_formula_sum 'Li2 Pr12 Ga10'
_cell_length_a 5.289
_cell_length_b 15.916
_cell_length_c 7.441
_cell_angle_alpha 90.00
_cell_angle_beta 90.00
_cell_angle_gamma 90.00
_symmetry_space_group_name_H-M 'C m m m'
_symmetry_Int_Tables_number 65
_symmetry_space_group_name_Hall '-C 2 2'
loop_
_atom_site_label
_atom_site_type_symbol
_atom_site_fract_x
_atom_site_fract_y
_atom_site_fract_z
Li1 Li 0.000 0.000 0.000
Pr1 Pr 0.000 0.170 0.250
Pr2 Pr 0.000 0.500 0.258
Ga1 Ga 0.000 0.000 0.500
Ga2 Ga 0.000 0.335 0.500
Ga3 Ga 0.000 0.344 0.000
```

Output
E ... -102.6 eV/cell
ΔE_f ... -466 meV/atom
Mass density ... 6.4 g cm⁻³

Record 4
LiPr4Ga3 | PBE-GGA | optimized geometry

Cell and atoms, written as CIF:
```
data_LiPr4Ga3
_chemical_formula_sum 'Li2 Pr8 Ga6'
_cell_length_a 5.237
_cell_length_b 5.237
_cell_length_c 15.268
_cell_angle_alpha 90.00
_cell_angle_beta 90.00
_cell_angle_gamma 90.00
_symmetry_space_group_name_H-M 'I 4/m m m'
_symmetry_Int_Tables_number 139
_symmetry_space_group_name_Hall '-I 4 2'
loop_
_atom_site_label
_atom_site_type_symbol
_atom_site_fract_x
_atom_site_fract_y
_atom_site_fract_z
Li1 Li 0.000 0.000 0.000
Pr1 Pr 0.000 0.500 0.129
Ga1 Ga 0.000 0.000 0.246
Ga2 Ga 0.000 0.000 0.500
```

Output
E ... -67.0 eV/cell
ΔE_f ... -424 meV/atom
Mass density ... 6.2 g cm⁻³

Record 5
Li4PrGa | PBE-GGA | optimized geometry

Cell and atoms, written as CIF:
```
data_Li4PrGa
_chemical_formula_sum 'Li16 Pr4 Ga4'
_cell_length_a 7.745
_cell_length_b 7.745
_cell_length_c 7.745
_cell_angle_alpha 90.00
_cell_angle_beta 90.00
_cell_angle_gamma 90.00
_symmetry_space_group_name_H-M 'F -4 3 m'
_symmetry_Int_Tables_number 216
_symmetry_space_group_name_Hall 'F -4 2 3'
loop_
_atom_site_label
_atom_site_type_symbol
_atom_site_fract_x
_atom_site_fract_y
_atom_site_fract_z
Li1 Li 0.123 0.123 0.377
Pr1 Pr 0.000 0.000 0.000
Ga1 Ga 0.250 0.250 0.750
```

Output
E ... -64.1 eV/cell
ΔE_f ... -94 meV/atom
Mass density ... 3.4 g cm⁻³

Record 6
LiPr2Ga12 | PBE-GGA | optimized geometry

Cell and atoms, written as CIF:
```
data_LiPr2Ga12
_chemical_formula_sum 'Li2 Pr4 Ga24'
_cell_length_a 6.222
_cell_length_b 6.222
_cell_length_c 15.265
_cell_angle_alpha 90.00
_cell_angle_beta 90.00
_cell_angle_gamma 90.00
_symmetry_space_group_name_H-M 'P 4/n b m'
_symmetry_Int_Tables_number 125
loop_
_symmetry_equiv_pos_as_xyz
'x,y,z'
'-x,-y,-z'
'-y+1/2,x,z'
'y+1/2,-x,-z'
'-x+1/2,-y+1/2,z'
'x+1/2,y+1/2,-z'
'y,-x+1/2,z'
'-y,x+1/2,-z'
'x,-y+1/2,-z'
'-x,y+1/2,z'
'-y+1/2,-x+1/2,-z'
'y+1/2,x+1/2,z'
'-x+1/2,y,-z'
'x+1/2,-y,z'
'y,x,-z'
'-y,-x,z'
loop_
_atom_site_label
_atom_site_type_symbol
_atom_site_fract_x
_atom_site_fract_y
_atom_site_fract_z
Li1 Li 0.250 0.750 0.000
Pr1 Pr 0.250 0.750 0.245
Ga1 Ga 0.001 0.501 0.086
Ga2 Ga 0.079 0.579 0.570
Ga3 Ga 0.250 0.250 0.180
Ga4 Ga 0.250 0.250 0.343
```

Output
E ... -106.3 eV/cell
ΔE_f ... -356 meV/atom
Mass density ... 6.3 g cm⁻³

Record 7
Li2PrGa | PBE-GGA | optimized geometry

Cell and atoms, written as CIF:
```
data_Li2PrGa
_chemical_formula_sum 'Li8 Pr4 Ga4'
_cell_length_a 6.807
_cell_length_b 6.807
_cell_length_c 6.807
_cell_angle_alpha 90.00
_cell_angle_beta 90.00
_cell_angle_gamma 90.00
_symmetry_space_group_name_H-M 'F m -3 m'
_symmetry_Int_Tables_number 225
_symmetry_space_group_name_Hall '-F 4 2 3'
loop_
_atom_site_label
_atom_site_type_symbol
_atom_site_fract_x
_atom_site_fract_y
_atom_site_fract_z
Li1 Li 0.250 0.250 0.250
Pr1 Pr 0.000 0.000 0.000
Ga1 Ga 0.000 0.000 0.500
```

Output
E ... -50.9 eV/cell
ΔE_f ... -272 meV/atom
Mass density ... 4.7 g cm⁻³

Record 8
Li4Pr5Ga4 | PBE-GGA | optimized geometry

Cell and atoms, written as CIF:
```
data_Li4Pr5Ga4
_chemical_formula_sum 'Li8 Pr10 Ga8'
_cell_length_a 11.858
_cell_length_b 11.858
_cell_length_c 4.558
_cell_angle_alpha 90.00
_cell_angle_beta 90.00
_cell_angle_gamma 90.00
_symmetry_space_group_name_H-M 'I 4/m'
_symmetry_Int_Tables_number 87
_symmetry_space_group_name_Hall '-I 4'
loop_
_atom_site_label
_atom_site_type_symbol
_atom_site_fract_x
_atom_site_fract_y
_atom_site_fract_z
Li1 Li 0.070 0.400 0.000
Pr1 Pr 0.000 0.000 0.500
Pr2 Pr 0.131 0.787 0.000
Ga1 Ga 0.054 0.257 0.500
```

Output
E ... -96.2 eV/cell
ΔE_f ... -343 meV/atom
Mass density ... 5.2 g cm⁻³